[1]
A plane-wave DFT calculation with PBE was carried out for a relaxed structure of PuAlFe2H8.

The structure in POSCAR format:
```
PuAlFe2H8
1.0
4.2149 0.0000 0.0000
-2.1074 3.6502 0.0000
0.0000 0.0000 5.9248
H Pu Al Fe
8 1 1 2
Direct
0.3333 0.6667 0.8982
0.6229 0.9486 0.3169
0.6667 0.3333 0.1018
0.3771 0.0514 0.6831
0.9486 0.3257 0.6831
0.6743 0.6229 0.6831
0.3257 0.3771 0.3169
0.0514 0.6743 0.3169
0.0000 0.0000 0.0000
0.0000 0.0000 0.5000
0.6667 0.3333 0.3726
0.3333 0.6667 0.6274
```

Output
space group	P-3, No. 147
density	7.1	g cm⁻³
total moment	5.89	Bohr magnetons per cell

---

[2]
A plane-wave DFT calculation with PBE was carried out for a relaxed structure of Rb2AlFeH.

The structure in POSCAR format:
```
Rb2AlFeH
1.0
-5.5956 3.2130 -1.9379
-1.7293 -0.3448 4.4216
2.8440 5.9016 1.5726
Rb H Al Fe
2 1 1 1
Direct
0.0000 0.0000 0.5000
0.5000 0.0000 0.0000
0.5000 0.5000 0.5000
0.0000 0.0000 0.0000
0.0000 0.5000 0.0000
```

Output
space group	P4/mmm, No. 123
density	2.0	g cm⁻³
total moment	2.79	Bohr magnetons per cell

---

[3]
A plane-wave DFT calculation with PBE was carried out for a relaxed structure of Al2FeReH.

The structure in POSCAR format:
```
Al2FeReH
1.0
-1.0790 1.7121 -3.6743
-4.0109 0.0996 1.2243
0.4442 2.8969 1.2194
Re Al H Fe
1 2 1 1
Direct
0.5000 0.5000 0.5000
0.5000 0.0000 0.0000
0.0000 0.5000 0.0000
0.0000 0.0000 0.0000
0.0000 0.0000 0.5000
```

Output
space group	P4/mmm, No. 123
density	8.8	g cm⁻³
total moment	1.41	Bohr magnetons per cell

---

| no. | DFT total energy (eV/atom) |
| --- | --- |
| 1 | -5.173 |
| 2 | -2.627 |
| 3 | -6.430 |